Entry 1:
First-principles (PBE) data for an optimized crystal structure of Mn3BiI9, as listed in Alexandria.

Summary:
Electronic total energy, eV per atom: -3.873
Formation energy without anion corrections, eV/atom: -0.3857
Symmetry: Cc (9)

Unit cell a=11.485 b=11.485 c=14.701 alpha=123.98 beta=123.98 gamma=54.03
Element x y z (fractional)
Mn1 0.068 0.932 0.500
Mn2 0.293 0.444 0.548
Mn3 0.444 0.293 0.048
Mn4 0.474 0.714 0.389
Mn5 0.714 0.474 0.889
Mn6 0.932 0.068 0.000
Bi1 0.504 0.956 0.213
Bi2 0.956 0.504 0.713
I1 0.050 0.419 0.512
I2 0.201 0.952 0.159
I3 0.223 0.748 0.628
I4 0.274 0.972 0.495
I5 0.302 0.561 0.194
I6 0.309 0.351 0.849
I7 0.351 0.309 0.349
I8 0.419 0.050 0.012
I9 0.533 0.639 0.018
I10 0.561 0.302 0.694
I11 0.639 0.533 0.518
I12 0.649 0.807 0.397
I13 0.748 0.223 0.128
I14 0.807 0.649 0.897
I15 0.850 0.892 0.286
I16 0.892 0.850 0.786
I17 0.952 0.201 0.659
I18 0.972 0.274 0.995

---

Entry 2:
First-principles (PBE) data for an optimized crystal structure of Pr14SmCd, as listed in Alexandria.

Summary:
Electronic total energy, eV per atom: -4.552
Density of states at the Fermi level, states/eV per cell: 19.6
Formation energy from the elements, eV/atom: -0.02
Symmetry: Amm2 (38)

Unit cell a=10.424 b=7.315 c=7.315 alpha=90.00 beta=90.00 gamma=90.00
Element x y z (fractional)
Pr1 0.000 0.000 0.000
Pr2 0.000 0.000 0.500
Pr3 0.000 0.500 0.000
Pr4 0.000 0.500 0.500
Pr5 0.255 0.247 0.247
Pr6 0.255 0.247 0.752
Pr7 0.255 0.752 0.247
Pr8 0.255 0.752 0.752
Pr9 0.500 0.000 0.499
Pr10 0.500 0.499 0.000
Pr11 0.745 0.247 0.247
Pr12 0.745 0.247 0.752
Pr13 0.745 0.752 0.247
Pr14 0.745 0.752 0.752
Sm1 0.500 0.500 0.500
Cd1 0.500 0.999 0.999

---

Entry 3:
First-principles (PBE) data for an optimized crystal structure of Tc2IrSe, as listed in Alexandria.

Summary:
Electronic total energy, eV per atom: -8.002
Formation energy without anion corrections, eV/atom: 0.2675
Density of states at the Fermi level, states/eV per cell: 5.1
Symmetry: P4/mmm (123)

Unit cell a=4.541 b=4.541 c=2.898 alpha=90.00 beta=90.00 gamma=90.00
Element x y z (fractional)
Tc1 0.000 0.500 0.000
Tc2 0.500 0.000 0.000
Ir1 0.000 0.000 0.500
Se1 0.500 0.500 0.500

---

Entry 4:
First-principles (PBE) data for an optimized crystal structure of K2Rb3NaCl6, as listed in Alexandria.

Summary:
Electronic total energy, eV per atom: -3.363
Formation energy without anion corrections, eV/atom: -1.9047
Density of states at the Fermi level, states/eV per cell: 0.0
Symmetry: C2/m (12)

Unit cell a=7.863 b=7.863 c=7.885 alpha=99.58 beta=99.58 gamma=120.03
Element x y z (fractional)
K1 0.166 0.834 0.000
K2 0.834 0.166 0.000
Rb1 0.000 0.000 0.500
Rb2 0.331 0.669 0.500
Rb3 0.669 0.331 0.500
Na1 0.500 0.500 0.000
Cl1 0.106 0.424 0.771
Cl2 0.259 0.259 0.229
Cl3 0.424 0.106 0.771
Cl4 0.576 0.894 0.229
Cl5 0.741 0.741 0.771
Cl6 0.894 0.576 0.229